Record 1
YTmPd6 | PBE-GGA | relaxed

Cell: 4.103 4.103 8.200 Å, 90.00 90.00 90.00°
Space group P4/mmm (No. 123)
One atom of each set of equivalent atoms:
Y (0.000, 0.000, 0.000) (multiplicity 1)
Tm (0.000, 0.000, 0.500) (multiplicity 1)
Pd (0.000, 0.500, 0.253) (multiplicity 4)
Pd (0.500, 0.500, 0.000) (multiplicity 1)
Pd (0.500, 0.500, 0.500) (multiplicity 1)


Record 2
YTmPd | PBE-GGA | relaxed

Output
energy above the most stable polymorph in this dataset	0.48	eV/f.u.

Cell: 6.851 6.851 6.851 Å, 90.00 90.00 90.00°
Space group F-43m (No. 216)
One atom of each set of equivalent atoms:
Y (0.000, 0.000, 0.000) (multiplicity 4)
Tm (0.000, 0.000, 0.500) (multiplicity 4)
Pd (0.250, 0.250, 0.750) (multiplicity 4)


Record 3
YTmPd | PBE-GGA | relaxed

Output
energy above the most stable polymorph in this dataset	0.06	eV/f.u.

Cell: 7.014 4.856 8.768 Å, 90.00 90.00 90.00°
Space group Pnma (No. 62)
One atom of each set of equivalent atoms:
Y (0.146, 0.250, 0.082) (multiplicity 4)
Tm (0.015, 0.250, 0.670) (multiplicity 4)
Pd (0.233, 0.250, 0.406) (multiplicity 4)


Record 4
YTmPd | PBE-GGA | relaxed

Output
energy above the most stable polymorph in this dataset	0.00	eV/f.u.

Cell: 7.078 4.830 8.687 Å, 90.00 90.00 90.00°
Space group Pnma (No. 62)
One atom of each set of equivalent atoms:
Y (0.016, 0.250, 0.174) (multiplicity 4)
Tm (0.144, 0.250, 0.578) (multiplicity 4)
Pd (0.247, 0.250, 0.904) (multiplicity 4)


Number 1: energy relative to the elements -7.2 eV/f.u., magnetization 0.0 μB per cell. Number 2: energy relative to the elements -1.5 eV/f.u., magnetization 0.0 μB per cell. Number 3: energy relative to the elements -1.9 eV/f.u., magnetization 0.0 μB per cell. Number 4: energy relative to the elements -2.0 eV/f.u., magnetization 0.0 μB per cell.